[1]
Li3Sm2HoPb3: relaxed, PBE.

```
Li3Sm2HoPb3
1.0
4.8341 0.0000 0.0000
-2.4171 4.1865 0.0000
0.0000 0.0000 10.9017
Li Sm Ho Pb
3 2 1 3
direct
0.0000 0.0000 0.0000
0.3333 0.6667 0.3149
0.3333 0.6667 0.6851
0.6667 0.3333 0.1675
0.6667 0.3333 0.8325
0.6667 0.3333 0.5000
0.0000 0.0000 0.3352
0.0000 0.0000 0.6648
0.3333 0.6667 0.0000
```

Summary:
* magnetic moment: 0.02 μB per formula unit
* uncorrected energy: -3.91 eV/atom
* symmetry: P-6m2 (187)

---

[2]
LaPmHf: relaxed, PBE.

```
LaPmHf
1.0
0.0000 3.7383 3.7383
3.7383 0.0000 3.7383
3.7383 3.7383 0.0000
La Pm Hf
1 1 1
direct
0.0000 0.0000 0.0000
0.5000 0.5000 0.5000
0.2500 0.2500 0.2500
```

Summary:
* magnetic moment: 1.73 μB per formula unit
* ΔE to the lowest computed polymorph: 0.0 meV per atom
* E_form: 0.7904 eV per atom
* uncorrected energy: -5.75 eV/atom
* symmetry: F-43m (216)

---

[3]
LuNiBi: relaxed, PBE.

```
LuNiBi
1.0
4.4661 0.0000 0.0000
-2.2330 3.8677 0.0000
0.0000 0.0000 7.4812
Lu Ni Bi
2 2 2
direct
0.0000 0.0000 0.0000
0.0000 0.0000 0.5000
0.3333 0.6667 0.2500
0.6667 0.3333 0.7500
0.3333 0.6667 0.7500
0.6667 0.3333 0.2500
```

Summary:
* magnetic moment: 0.00 μB per formula unit
* uncorrected energy: -5.14 eV/atom
* symmetry: P6_3/mmc (194)

---

[4]
MgNpAs: relaxed, PBE.

```
MgNpAs
1.0
0.0000 3.3166 3.3166
3.3166 0.0000 3.3166
3.3166 3.3166 0.0000
Mg Np As
1 1 1
direct
0.0000 0.0000 0.0000
0.5000 0.5000 0.5000
0.2500 0.2500 0.2500
```

Summary:
* magnetic moment: 5.10 μB per formula unit
* ΔE to the lowest computed polymorph: 0.0 meV per atom
* uncorrected energy: -6.43 eV/atom
* symmetry: F-43m (216)

---

[5]
Tb3NdIr8: relaxed, PBE.

```
Tb3NdIr8
1.0
2.6881 1.5520 8.7754
-2.6881 1.5520 8.7754
0.0000 -3.1040 8.7754
Tb Nd Ir
3 1 8
direct
0.0000 0.0000 0.0000
0.1247 0.1247 0.1247
0.4991 0.4991 0.4991
0.6244 0.6244 0.6244
0.0615 0.0615 0.5609
0.0615 0.5609 0.0615
0.0635 0.5623 0.5623
0.3121 0.3121 0.3121
0.5609 0.0615 0.0615
0.5623 0.0635 0.5623
0.5623 0.5623 0.0635
0.8120 0.8120 0.8120
```

Summary:
* magnetic moment: 0.00 μB per formula unit
* E_form: -0.7774 eV per atom
* uncorrected energy: -8.23 eV/atom
* symmetry: R3m (160)

---

[6]
InB2W2: relaxed, PBE.

```
InB2W2
1.0
1.5149 -6.9745 0.0000
1.5149 6.9745 0.0000
0.0000 0.0000 3.0614
In B W
1 2 2
direct
0.0000 0.0000 0.0000
0.2148 0.7852 0.0000
0.7852 0.2148 0.0000
0.3410 0.6590 0.5000
0.6590 0.3410 0.5000
```

Summary:
* magnetic moment: 0.00 μB per formula unit
* uncorrected energy: -8.38 eV/atom
* symmetry: Cmmm (65)

---

[7]
SmSbMo: relaxed, PBE.

```
SmSbMo
1.0
0.0000 3.3910 3.3910
3.3910 0.0000 3.3910
3.3910 3.3910 0.0000
Sm Sb Mo
1 1 1
direct
0.0000 0.0000 0.0000
0.7500 0.7500 0.7500
0.5000 0.5000 0.5000
```

Summary:
* magnetic moment: 0.22 μB per formula unit
* ΔE to the lowest computed polymorph: 0.0 meV per atom
* uncorrected energy: -6.30 eV/atom
* symmetry: F-43m (216)

---

[8]
Ag2HgI2O: relaxed, PBE.

```
Ag2HgI2O
1.0
6.6857 -3.7058 0.0000
6.6857 3.7058 0.0000
0.0000 0.0000 6.9288
Ag Hg I O
4 2 4 2
direct
0.0205 0.6826 0.5000
0.3174 0.9795 0.5000
0.6826 0.0205 0.0000
0.9795 0.3174 0.0000
0.4835 0.5165 0.8244
0.5165 0.4835 0.3244
0.0485 0.6416 0.0813
0.3584 0.9515 0.0813
0.6416 0.0485 0.5813
0.9515 0.3584 0.5813
0.3404 0.6596 0.5640
0.6596 0.3404 0.0640
```

Summary:
* uncorrected energy: -2.57 eV/atom
* symmetry: Cmc2_1 (36)

---

[9]
DyTm2Ga3FeGe2: relaxed, PBE.

```
DyTm2Ga3FeGe2
1.0
4.1134 0.0000 0.0000
0.0000 6.0102 3.4548
0.0000 -6.0102 3.4548
Dy Tm Ga Fe Ge
1 2 3 1 2
direct
0.0000 0.0000 0.0000
0.0000 0.1971 0.5976
0.0000 0.5976 0.1971
0.5000 0.3708 0.3708
0.5000 0.5962 0.8234
0.5000 0.8234 0.5962
0.0000 0.5950 0.5950
0.5000 0.2656 0.9293
0.5000 0.9293 0.2656
```

Summary:
* magnetic moment: 0.01 μB per formula unit
* uncorrected energy: -5.10 eV/atom
* symmetry: Amm2 (38)

---

[10]
TmUGe: relaxed, PBE.

```
TmUGe
1.0
0.0000 3.4246 3.4246
3.4246 0.0000 3.4246
3.4246 3.4246 0.0000
Tm U Ge
1 1 1
direct
0.0000 0.0000 0.0000
0.5000 0.5000 0.5000
0.2500 0.2500 0.2500
```

Summary:
* magnetic moment: 3.60 μB per formula unit
* uncorrected energy: -6.65 eV/atom
* symmetry: F-43m (216)

---

[11]
BaErFe: relaxed, PBE.

```
BaErFe
1.0
0.0000 3.5792 3.5792
3.5792 0.0000 3.5792
3.5792 3.5792 0.0000
Ba Er Fe
1 1 1
direct
0.0000 0.0000 0.0000
0.7500 0.7500 0.7500
0.2500 0.2500 0.2500
```

Summary:
* magnetic moment: 2.45 μB per formula unit
* ΔE to the lowest computed polymorph: 271.9 meV per atom
* uncorrected energy: -3.54 eV/atom
* symmetry: F-43m (216)

---

[12]
RbBeCoSe3: relaxed, PBE.

```
RbBeCoSe3
1.0
1.8473 -7.6196 0.0000
1.8473 7.6196 0.0000
0.0000 0.0000 9.5633
Rb Be Co Se
2 2 2 6
direct
0.2484 0.7516 0.7500
0.7516 0.2484 0.2500
0.0294 0.9706 0.2500
0.9706 0.0294 0.7500
0.5000 0.5000 0.0000
0.5000 0.5000 0.5000
0.1008 0.8992 0.0485
0.1008 0.8992 0.4515
0.4440 0.5560 0.2500
0.5560 0.4440 0.7500
0.8992 0.1008 0.5485
0.8992 0.1008 0.9515
```

Summary:
* magnetic moment: 0.00 μB per formula unit
* uncorrected energy: -4.32 eV/atom
* symmetry: Cmcm (63)

---

[13]
Sr2Al8Pt3: relaxed, PBE.

```
Sr2Al8Pt3
1.0
10.9019 0.0000 0.0000
0.0000 10.9019 0.0000
0.0000 0.0000 8.2946
Sr Al Pt
8 32 12
direct
0.0460 0.7500 0.1143
0.2500 0.5460 0.3857
0.2500 0.9540 0.3857
0.4540 0.7500 0.1143
0.5460 0.2500 0.8857
0.7500 0.0460 0.6143
0.7500 0.4540 0.6143
0.9540 0.2500 0.8857
0.0416 0.1213 0.5351
0.0416 0.3787 0.5351
0.1094 0.2500 0.2487
0.1213 0.0416 0.0351
0.1213 0.4584 0.0351
0.1270 0.7500 0.6320
0.2500 0.1094 0.7487
0.2500 0.3906 0.7487
0.2500 0.6270 0.8680
0.2500 0.8730 0.8680
0.3730 0.7500 0.6320
0.3787 0.0416 0.0351
0.3787 0.4584 0.0351
0.3906 0.2500 0.2487
0.4584 0.1213 0.5351
0.4584 0.3787 0.5351
0.5416 0.6213 0.4649
0.5416 0.8787 0.4649
0.6094 0.7500 0.7513
0.6213 0.5416 0.9649
0.6213 0.9584 0.9649
0.6270 0.2500 0.3680
0.7500 0.1270 0.1320
0.7500 0.3730 0.1320
0.7500 0.6094 0.2513
0.7500 0.8906 0.2513
0.8730 0.2500 0.3680
0.8787 0.5416 0.9649
0.8787 0.9584 0.9649
0.8906 0.7500 0.7513
0.9584 0.6213 0.4649
0.9584 0.8787 0.4649
0.0446 0.5446 0.7500
0.0446 0.9554 0.7500
0.2500 0.2500 0.0029
0.2500 0.2500 0.5029
0.4554 0.5446 0.7500
0.4554 0.9554 0.7500
0.5446 0.0446 0.2500
0.5446 0.4554 0.2500
0.7500 0.7500 0.4971
0.7500 0.7500 0.9971
0.9554 0.0446 0.2500
0.9554 0.4554 0.2500
```

Summary:
* magnetic moment: 0.00 μB per formula unit
* uncorrected energy: -4.76 eV/atom
* symmetry: P4_2/nmc (137)

---

[14]
TmMgAuSe3: relaxed, PBE.

```
TmMgAuSe3
1.0
7.6466 0.0000 0.0000
0.0000 3.9297 0.0000
-2.0217 0.0000 9.0527
Tm Mg Au Se
2 2 2 6
direct
0.1850 0.2500 0.1811
0.8150 0.7500 0.8189
0.2752 0.7500 0.7309
0.7248 0.2500 0.2691
0.3714 0.7500 0.4497
0.6286 0.2500 0.5503
0.0965 0.2500 0.8629
0.1591 0.2500 0.4820
0.4460 0.7500 0.1734
0.5540 0.2500 0.8266
0.8409 0.7500 0.5180
0.9035 0.7500 0.1371
```

Summary:
* magnetic moment: 0.00 μB per formula unit
* ΔE to the lowest computed polymorph: 0.0 meV per atom
* uncorrected energy: -4.38 eV/atom
* symmetry: P2_1/m (11)

---

[15]
KRb2Li2ReO6: relaxed, PBE.

```
KRb2Li2ReO6
1.0
3.1716 -5.8991 0.0000
3.1716 5.8991 0.0000
-1.3764 0.0000 5.0000
K Rb Li Re O
1 2 2 1 6
direct
0.0000 0.0000 0.0000
0.1804 0.8196 0.5000
0.8196 0.1804 0.5000
0.4008 0.5992 0.0000
0.5992 0.4008 0.0000
0.5000 0.5000 0.5000
0.2224 0.4530 0.2717
0.3013 0.3013 0.7206
0.4530 0.2224 0.2717
0.5470 0.7776 0.7283
0.6987 0.6987 0.2794
0.7776 0.5470 0.7283
```

Summary:
* magnetic moment: 0.00 μB per formula unit
* uncorrected energy: -5.80 eV/atom
* symmetry: C2/m (12)

---

[16]
PdBr4: relaxed, PBE.

```
PdBr4
1.0
4.0413 -4.4161 0.0000
4.0413 4.4161 0.0000
0.0000 0.0000 3.7500
Pd Br
1 4
direct
0.0000 0.0000 0.0000
0.1917 0.8083 0.5000
0.3144 0.3144 0.0000
0.6856 0.6856 0.0000
0.8083 0.1917 0.5000
```

Summary:
* uncorrected energy: -2.48 eV/atom
* symmetry: Cmmm (65)

---

[17]
Zr3Sc2Al3: relaxed, PBE.

```
Zr3Sc2Al3
1.0
6.1893 0.0000 0.0000
-3.0947 5.3601 0.0000
0.0000 0.0000 4.9984
Zr Sc Al
3 2 3
direct
0.0163 0.5081 0.0000
0.4919 0.5081 0.0000
0.4919 0.9837 0.0000
0.0000 0.0000 0.0000
0.6667 0.3333 0.5000
0.1738 0.3475 0.5000
0.1738 0.8262 0.5000
0.6525 0.8262 0.5000
```

Summary:
* magnetic moment: 0.02 μB per formula unit
* ΔE to the lowest computed polymorph: 91.8 meV per atom
* uncorrected energy: -6.42 eV/atom
* symmetry: P-6m2 (187)

---

[18]
CoI3: relaxed, PBE.

```
CoI3
1.0
5.0402 0.0000 0.0000
0.0000 5.0402 0.0000
0.0000 0.0000 5.0402
Co I
1 3
direct
0.0000 0.0000 0.0000
0.0000 0.5000 0.5000
0.5000 0.0000 0.5000
0.5000 0.5000 0.0000
```

Summary:
* magnetic moment: 0.07 μB per formula unit
* uncorrected energy: -1.65 eV/atom
* symmetry: Pm-3m (221)

---

[19]
Dy2LuCu4Si2Ge2: relaxed, PBE.

```
Dy2LuCu4Si2Ge2
1.0
-2.0895 3.2766 6.8760
2.0895 -3.2766 6.8760
2.0895 3.2766 -6.8760
Dy Lu Cu Si Ge
2 1 4 2 2
direct
0.1297 0.1297 0.0000
0.8703 0.8703 0.0000
0.5000 0.0000 0.5000
0.1462 0.3365 0.8096
0.4731 0.6635 0.8096
0.5269 0.3365 0.1904
0.8538 0.6635 0.1904
0.1855 0.5000 0.6855
0.8145 0.5000 0.3145
0.2846 0.7846 0.5000
0.7154 0.2154 0.5000
```

Summary:
* magnetic moment: 0.00 μB per formula unit
* ΔE to the lowest computed polymorph: 9.0 meV per atom
* uncorrected energy: -5.05 eV/atom
* symmetry: Immm (71)

---

[20]
Cs2NbTlBr6: relaxed, PBE.

```
Cs2NbTlBr6
1.0
4.2021 2.4261 6.3244
-4.2021 2.4261 6.3244
0.0000 -4.8521 6.3244
Cs Nb Tl Br
2 1 1 6
direct
0.0000 0.0000 0.0000
0.4958 0.4958 0.4958
0.7473 0.7473 0.7473
0.2475 0.2475 0.2475
0.0388 0.5374 0.9062
0.4553 0.9564 0.5888
0.5374 0.9062 0.0388
0.5888 0.4553 0.9564
0.9062 0.0388 0.5374
0.9564 0.5888 0.4553
```

Summary:
* magnetic moment: 2.00 μB per formula unit
* ΔE to the lowest computed polymorph: 0.0 meV per atom
* uncorrected energy: -3.63 eV/atom
* symmetry: R3 (146)

---

[21]
Hf4Sn3Mo2C3: relaxed, PBE.

```
Hf4Sn3Mo2C3
1.0
4.9266 -2.8471 0.0000
4.9266 2.8471 0.0000
-3.3143 0.0000 14.0972
Hf Sn Mo C
8 6 4 6
direct
0.0286 0.1961 0.0871
0.1379 0.3040 0.4131
0.1961 0.0286 0.5871
0.3040 0.1379 0.9131
0.6960 0.8621 0.0869
0.8039 0.9714 0.4129
0.8621 0.6960 0.5869
0.9714 0.8039 0.9129
0.1041 0.8959 0.2500
0.2699 0.4157 0.7498
0.4157 0.2699 0.2498
0.5843 0.7301 0.7502
0.7301 0.5843 0.2502
0.8959 0.1041 0.7500
0.3584 0.5268 0.0789
0.4732 0.6416 0.4211
0.5268 0.3584 0.5789
0.6416 0.4732 0.9211
0.0000 0.5000 0.0000
0.1668 0.6664 0.5000
0.3336 0.8332 0.0000
0.5000 0.0000 0.5000
0.6664 0.1668 0.0000
0.8332 0.3336 0.5000
```

Summary:
* magnetic moment: 0.00 μB per formula unit
* uncorrected energy: -8.93 eV/atom
* symmetry: C2/c (15)

---

[22]
LuNb2Fe: relaxed, PBE.

```
LuNb2Fe
1.0
0.0000 3.2983 3.2983
3.2983 0.0000 3.2983
3.2983 3.2983 0.0000
Lu Nb Fe
1 2 1
direct
0.0000 0.0000 0.0000
0.5000 0.5000 0.5000
0.7500 0.7500 0.7500
0.2500 0.2500 0.2500
```

Summary:
* magnetic moment: 2.10 μB per formula unit
* E_form: 0.2606 eV per atom
* uncorrected energy: -7.99 eV/atom
* symmetry: F-43m (216)